(1)
VASP calculation (GGA-PBE) on an optimized crystal structure of ErPu2Th3Se6.

Unit cell a=7.0686 b=7.0686 c=7.3947 alpha=99.17 beta=99.17 gamma=120.00
Last column: magnetic moment on the atom in μB.
Positions (direct):
Er 0.0000 0.0000 0.0000  0.06
Pu 0.3336 0.6664 0.0000  5.39
Pu 0.6664 0.3336 0.0000  5.39
Th 0.1681 0.8319 0.5000  -0.02
Th 0.8319 0.1681 0.5000  -0.02
Th 0.5000 0.5000 0.5000  -0.03
Se 0.9214 0.5923 0.7638  -0.03
Se 0.7507 0.7507 0.2380  -0.03
Se 0.0786 0.4077 0.2362  -0.03
Se 0.5923 0.9214 0.7638  -0.03
Se 0.2493 0.2493 0.7620  -0.03
Se 0.4077 0.0786 0.2362  -0.03

Space group: C2/m
Calculated total energy, eV/cell: -95.3
E_form (uncorrected), eV per atom: -1.5735

(2)
VASP calculation (GGA-PBE) on an optimized crystal structure of Er3PuTh4Se8.

Unit cell a=8.0737 b=8.4657 c=8.0733 alpha=118.48 beta=120.00 gamma=90.00
Last column: magnetic moment on the atom in μB.
Positions (direct):
Er 0.5000 0.5000 0.0000  0.03
Er 0.5000 0.5000 0.5000  0.03
Er 0.0000 0.5000 0.5000  0.03
Pu 0.0000 0.5000 0.0000  5.36
Th 0.5000 0.0000 0.0000  -0.09
Th 0.5000 0.0000 0.5000  -0.03
Th 0.0000 0.0000 0.0000  -0.03
Th 0.0000 0.0000 0.5000  -0.03
Se 0.2466 0.7335 0.9869  -0.02
Se 0.2466 0.7335 0.4932  -0.02
Se 0.2564 0.2691 0.5127  0.00
Se 0.7403 0.7335 0.9869  -0.02
Se 0.2597 0.2665 0.0131  -0.02
Se 0.7436 0.7309 0.4873  0.00
Se 0.7534 0.2665 0.5068  -0.02
Se 0.7534 0.2665 0.0131  -0.02

Space group: R-3m
Calculated total energy, eV/cell: -111.2
E_form (uncorrected), eV per atom: -1.6041

(3)
VASP calculation (GGA-PBE) on an optimized crystal structure of Er3Pu2ThSe6.

Unit cell a=4.0518 b=8.2989 c=9.2159 alpha=104.34 beta=102.70 gamma=90.00
Last column: magnetic moment on the atom in μB.
Positions (direct):
Er 0.5000 0.5000 0.0000  0.01
Er 0.8337 0.1671 0.6674  -0.01
Er 0.1663 0.8329 0.3326  -0.01
Pu 0.8346 0.6694 0.6693  5.49
Pu 0.1654 0.3306 0.3307  5.49
Th 0.5000 0.0000 0.0000  0.07
Se 0.3291 0.9218 0.6582  -0.02
Se 0.6655 0.5875 0.3309  -0.04
Se 0.6709 0.0782 0.3418  -0.02
Se 0.9972 0.2611 0.9944  -0.01
Se 0.0028 0.7389 0.0056  -0.01
Se 0.3345 0.4125 0.6691  -0.04

Space group: C2/m
Calculated total energy, eV/cell: -90.3
E_form (uncorrected), eV per atom: -1.6345

(4)
VASP calculation (GGA-PBE) on an optimized crystal structure of ErPuTh2Se4.

Unit cell a=4.0710 b=7.0452 c=7.3989 alpha=108.55 beta=90.00 gamma=90.00
Last column: magnetic moment on the atom in μB.
Positions (direct):
Er 0.5000 0.5000 0.0000  0.04
Pu 0.0000 0.0000 0.0000  5.37
Th 0.5000 0.0000 0.5000  -0.04
Th 0.0000 0.5000 0.5000  -0.07
Se 0.5000 0.2492 0.2361  -0.03
Se 0.5000 0.7508 0.7639  -0.03
Se 0.0000 0.2592 0.7657  -0.01
Se 0.0000 0.7408 0.2343  -0.01

Space group: P2/m
Calculated total energy, eV/cell: -60.3
E_form (uncorrected), eV per atom: -1.5835